Run P
DFT (PBE) results for Pu4TcRh2 after structural relaxation.

Lattice parameters (Å, degrees): 7.3131 7.3131 7.3131 110.00 108.42 110.00
Site moments in Bohr magnetons follow the coordinates.
Positions (direct):
Rh: 0.8750 0.1343 0.5093  -0.31
Rh: 0.4907 0.3657 0.6250  -0.31
Rh: 0.3750 0.8657 0.7407  -0.31
Rh: 0.2593 0.6343 0.1250  -0.31
Pu: 0.1185 0.8875 0.3737  5.05
Pu: 0.7690 0.2552 0.8815  5.05
Pu: 0.6263 0.7448 0.5138  5.05
Pu: 0.9810 0.6125 0.7362  5.05
Pu: 0.1237 0.3875 0.3685  5.05
Pu: 0.6315 0.7552 0.0190  5.05
Pu: 0.2638 0.2448 0.8763  5.05
Pu: 0.4862 0.1125 0.2310  5.05
Tc: 0.0000 0.0000 0.0000  -0.93
Tc: 0.7500 0.5000 0.2500  -0.93

Properties
space group: I-42d, No. 122
size of the total moment: 19.560 μB per formula unit

***

Run Q
DFT (PBE) results for Pu4TcRh2 after structural relaxation.

Lattice parameters (Å, degrees): 4.7126 4.7126 6.9660 90.00 90.00 90.00
Site moments in Bohr magnetons follow the coordinates.
Positions (direct):
Rh: 0.5000 0.5000 0.5000  -0.40
Rh: 0.0000 0.0000 0.0000  -0.29
Pu: 0.0000 0.5000 0.2518  5.17
Pu: 0.0000 0.5000 0.7482  5.17
Pu: 0.5000 0.0000 0.7482  5.17
Pu: 0.5000 0.0000 0.2518  5.17
Tc: 0.5000 0.5000 0.0000  -0.96

Properties
space group: P4/mmm, No. 123
size of the total moment: 19.972 μB per formula unit

***

Short version: run Q is the least stable of them.